## La2Si2O7 (PBE)

Data for a relaxed structure of La2Si2O7.

Lattice parameters (Å, degrees): 6.918 6.918 25.202 90.00 90.00 90.00
Element x y z (fractional)
La1 0.028 0.325 0.000
La2 0.152 0.415 0.646
La3 0.204 0.719 0.896
La4 0.271 0.626 0.258
La5 0.281 0.204 0.146
La6 0.325 0.972 0.750
La7 0.374 0.271 0.508
La8 0.415 0.848 0.396
La9 0.585 0.152 0.896
La10 0.626 0.729 0.008
La11 0.675 0.028 0.250
La12 0.719 0.796 0.646
La13 0.729 0.374 0.758
La14 0.796 0.281 0.396
La15 0.848 0.585 0.146
La16 0.972 0.675 0.500
Si1 0.107 0.801 0.034
Si2 0.125 0.227 0.877
Si3 0.199 0.107 0.284
Si4 0.205 0.477 0.777
Si5 0.227 0.875 0.627
Si6 0.264 0.359 0.382
Si7 0.359 0.736 0.132
Si8 0.477 0.795 0.527
Si9 0.523 0.205 0.027
Si10 0.641 0.264 0.632
Si11 0.736 0.641 0.882
Si12 0.773 0.125 0.127
Si13 0.795 0.523 0.277
Si14 0.801 0.893 0.784
Si15 0.875 0.773 0.377
Si16 0.893 0.199 0.534
O1 0.007 0.017 0.509
O2 0.017 0.993 0.259
O3 0.041 0.507 0.732
O4 0.045 0.739 0.608
O5 0.058 0.362 0.552
O6 0.071 0.835 0.408
O7 0.075 0.369 0.825
O8 0.113 0.395 0.431
O9 0.135 0.226 0.339
O10 0.165 0.071 0.658
O11 0.226 0.865 0.089
O12 0.231 0.557 0.157
O13 0.258 0.689 0.994
O14 0.259 0.360 0.918
O15 0.261 0.045 0.858
O16 0.287 0.677 0.803
O17 0.311 0.258 0.244
O18 0.323 0.287 0.053
O19 0.335 0.629 0.503
O20 0.344 0.550 0.351
O21 0.360 0.741 0.668
O22 0.362 0.942 0.302
O23 0.369 0.925 0.575
O24 0.371 0.335 0.753
O25 0.395 0.887 0.181
O26 0.443 0.231 0.407
O27 0.450 0.344 0.601
O28 0.493 0.041 0.982
O29 0.507 0.959 0.482
O30 0.550 0.656 0.101
O31 0.557 0.769 0.907
O32 0.605 0.113 0.681
O33 0.629 0.665 0.253
O34 0.631 0.075 0.075
O35 0.638 0.058 0.802
O36 0.640 0.259 0.168
O37 0.656 0.450 0.851
O38 0.665 0.371 0.003
O39 0.677 0.713 0.553
O40 0.689 0.742 0.744
O41 0.713 0.323 0.303
O42 0.739 0.955 0.358
O43 0.741 0.640 0.418
O44 0.742 0.311 0.494
O45 0.769 0.443 0.657
O46 0.774 0.135 0.589
O47 0.835 0.929 0.158
O48 0.865 0.774 0.839
O49 0.887 0.605 0.931
O50 0.925 0.631 0.325
O51 0.929 0.165 0.908
O52 0.942 0.638 0.052
O53 0.955 0.261 0.108
O54 0.959 0.493 0.232
O55 0.983 0.007 0.759
O56 0.993 0.983 0.009

Computed properties:
energy relative to the elements, uncorrected	-35.4	eV per formula unit
D(E_F)	0.000	states/eV/atom
space-group type	P4_1 (76)